(1)
A plane-wave DFT calculation with meta-GGA SCAN was carried out for a crystal of CaScNi relaxed with PBEsol.

Summary:
total energy	-40.10	eV for the cell shown
magnetic moment	0.08	μB per cell
density	3.2	Mg/m³
Fermi-level density of states	2.73	states/eV/cell

```
data_CaScNi
_symmetry_space_group_name_H-M 'P 3 m 1'
_symmetry_Int_Tables_number 156
_symmetry_space_group_name_Hall 'P 3 -2"'
_cell_length_a 3.7024
_cell_length_b 3.7024
_cell_length_c 6.1966
_cell_angle_alpha 90.00
_cell_angle_beta 90.00
_cell_angle_gamma 120.00
loop_
_atom_site_label
_atom_site_type_symbol
_atom_site_fract_x
_atom_site_fract_y
_atom_site_fract_z
Ca1 Ca 0.0000 0.0000 0.0000
Sc1 Sc 0.6667 0.3333 0.5112
Ni1 Ni 0.3333 0.6667 0.7109
```

***

(2)
A plane-wave DFT calculation with meta-GGA SCAN was carried out for a crystal of Ca2ScNi relaxed with PBEsol.

Summary:
total energy	-50.05	eV for the cell shown
magnetic moment	0.04	μB per cell
density	3.0	Mg/m³
Fermi-level density of states	2.66	states/eV/cell

```
data_Ca2ScNi
_symmetry_space_group_name_H-M 'P 4 m m'
_symmetry_Int_Tables_number 99
_symmetry_space_group_name_Hall 'P 4 -2'
_cell_length_a 3.366
_cell_length_b 3.366
_cell_length_c 8.962
_cell_angle_alpha 90.00
_cell_angle_beta 90.00
_cell_angle_gamma 90.00
loop_
_atom_site_label
_atom_site_type_symbol
_atom_site_fract_x
_atom_site_fract_y
_atom_site_fract_z
Ca1 Ca 0.000 0.000 0.000
Ca2 Ca 0.500 0.500 0.356
Sc1 Sc 0.500 0.500 0.700
Ni1 Ni 0.000 0.000 0.571
```

***

(3)
A plane-wave DFT calculation with meta-GGA SCAN was carried out for a crystal of CaNiSe2 relaxed with PBEsol.

Summary:
total energy	-280.71	eV for the cell shown
formation energy from raw total energies	-1046	meV/atom
magnetic moment	0.00	μB per cell
density	5.4	Mg/m³
Fermi-level density of states	2.58	states/eV/cell

```
data_CaNiSe2
_symmetry_space_group_name_H-M 'I -4 2 d'
_symmetry_Int_Tables_number 122
_symmetry_space_group_name_Hall 'I -4 2bw'
_cell_length_a 7.063
_cell_length_b 7.063
_cell_length_c 6.347
_cell_angle_alpha 90.00
_cell_angle_beta 90.00
_cell_angle_gamma 90.00
loop_
_atom_site_label
_atom_site_type_symbol
_atom_site_fract_x
_atom_site_fract_y
_atom_site_fract_z
Ca1 Ca 0.000 0.000 0.000
Ni1 Ni 0.000 0.000 0.500
Se1 Se 0.174 0.250 0.625
```

***

(4)
A plane-wave DFT calculation with meta-GGA SCAN was carried out for a crystal of CaNiSe relaxed with PBEsol.

Summary:
total energy	-188.83	eV for the cell shown
formation energy from raw total energies	-431	meV/atom
magnetic moment	0.00	μB per cell
density	5.1	Mg/m³
Fermi-level density of states	12.83	states/eV/cell

```
data_CaNiSe
_symmetry_space_group_name_H-M 'F m m 2'
_symmetry_Int_Tables_number 42
_symmetry_space_group_name_Hall 'F 2 -2'
_cell_length_a 4.501
_cell_length_b 5.255
_cell_length_c 9.699
_cell_angle_alpha 90.00
_cell_angle_beta 90.00
_cell_angle_gamma 90.00
loop_
_atom_site_label
_atom_site_type_symbol
_atom_site_fract_x
_atom_site_fract_y
_atom_site_fract_z
Ca1 Ca 0.000 0.000 0.000
Ni1 Ni 0.000 0.000 0.288
Se1 Se 0.000 0.000 0.708
```

***

(5)
A plane-wave DFT calculation with meta-GGA SCAN was carried out for a crystal of CaNiSe2 relaxed with PBEsol.

Summary:
total energy	-69.88	eV for the cell shown
formation energy from raw total energies	-972	meV/atom
magnetic moment	0.33	μB per cell
density	4.8	Mg/m³
Fermi-level density of states	1.35	states/eV/cell

```
data_CaNiSe2
_symmetry_space_group_name_H-M 'P 1 m 1'
_symmetry_Int_Tables_number 6
_symmetry_space_group_name_Hall 'P -2y'
_cell_length_a 3.982
_cell_length_b 4.259
_cell_length_c 5.374
_cell_angle_alpha 90.00
_cell_angle_beta 104.73
_cell_angle_gamma 90.00
loop_
_atom_site_label
_atom_site_type_symbol
_atom_site_fract_x
_atom_site_fract_y
_atom_site_fract_z
Ca1 Ca 0.000 0.000 0.000
Ni1 Ni 0.592 0.500 0.332
Se1 Se 0.467 0.500 0.891
Se2 Se 0.654 0.000 0.442
```

***

(6)
A plane-wave DFT calculation with meta-GGA SCAN was carried out for a crystal of CaNiSe relaxed with PBEsol.

Summary:
total energy	-49.07	eV for the cell shown
formation energy from raw total energies	-1052	meV/atom
magnetic moment	0.01	μB per cell
density	5.4	Mg/m³
Fermi-level density of states	0.97	states/eV/cell

```
data_CaNiSe
_symmetry_space_group_name_H-M 'P -6 m 2'
_symmetry_Int_Tables_number 187
_symmetry_space_group_name_Hall 'P -6 2'
_cell_length_a 4.0022
_cell_length_b 4.0022
_cell_length_c 3.9663
_cell_angle_alpha 90.00
_cell_angle_beta 90.00
_cell_angle_gamma 120.00
loop_
_atom_site_label
_atom_site_type_symbol
_atom_site_fract_x
_atom_site_fract_y
_atom_site_fract_z
Ca1 Ca 0.0000 0.0000 0.0000
Ni1 Ni 0.6667 0.3333 0.5000
Se1 Se 0.3333 0.6667 0.5000
```

***

(7)
A plane-wave DFT calculation with meta-GGA SCAN was carried out for a crystal of CaNiSe relaxed with PBEsol.

Summary:
total energy	-94.37	eV for the cell shown
formation energy from raw total energies	-423	meV/atom
magnetic moment	0.00	μB per cell
density	5.2	Mg/m³
Fermi-level density of states	6.22	states/eV/cell

```
data_CaNiSe
_symmetry_space_group_name_H-M 'I 4 m m'
_symmetry_Int_Tables_number 107
_symmetry_space_group_name_Hall 'I 4 -2'
_cell_length_a 3.395
_cell_length_b 3.395
_cell_length_c 9.797
_cell_angle_alpha 90.00
_cell_angle_beta 90.00
_cell_angle_gamma 90.00
loop_
_atom_site_label
_atom_site_type_symbol
_atom_site_fract_x
_atom_site_fract_y
_atom_site_fract_z
Ca1 Ca 0.000 0.000 0.000
Ni1 Ni 0.000 0.000 0.713
Se1 Se 0.000 0.000 0.290
```

***

(8)
A plane-wave DFT calculation with meta-GGA SCAN was carried out for a crystal of CaNiSe2 relaxed with PBEsol.

Summary:
total energy	-139.49	eV for the cell shown
formation energy from raw total energies	-938	meV/atom
magnetic moment	2.10	μB per cell
density	4.7	Mg/m³
Fermi-level density of states	3.61	states/eV/cell

```
data_CaNiSe2
_symmetry_space_group_name_H-M 'C 1 m 1'
_symmetry_Int_Tables_number 8
_symmetry_space_group_name_Hall 'C -2y'
_cell_length_a 11.282
_cell_length_b 3.789
_cell_length_c 4.340
_cell_angle_alpha 90.00
_cell_angle_beta 100.39
_cell_angle_gamma 90.00
loop_
_atom_site_label
_atom_site_type_symbol
_atom_site_fract_x
_atom_site_fract_y
_atom_site_fract_z
Ca1 Ca 0.000 0.000 0.000
Ni1 Ni 0.213 0.500 0.772
Se1 Se 0.020 0.500 0.510
Se2 Se 0.271 0.000 0.029
```

***

(9)
A plane-wave DFT calculation with meta-GGA SCAN was carried out for a crystal of CaNiSe2 relaxed with PBEsol.

Summary:
total energy	-212.11	eV for the cell shown
formation energy from raw total energies	-1177	meV/atom
magnetic moment	6.00	μB per cell
density	5.4	Mg/m³

```
data_CaNiSe2
_symmetry_space_group_name_H-M 'R -3 m'
_symmetry_Int_Tables_number 166
_symmetry_space_group_name_Hall '-R 3 2"'
_cell_length_a 3.8628
_cell_length_b 3.8628
_cell_length_c 18.4238
_cell_angle_alpha 90.00
_cell_angle_beta 90.00
_cell_angle_gamma 120.00
loop_
_atom_site_label
_atom_site_type_symbol
_atom_site_fract_x
_atom_site_fract_y
_atom_site_fract_z
Ca1 Ca 0.0000 0.0000 0.0000
Ni1 Ni 0.0000 0.0000 0.5000
Se1 Se 0.0000 0.0000 0.2341
```

***

(10)
A plane-wave DFT calculation with meta-GGA SCAN was carried out for a crystal of CaNiSe2 relaxed with PBEsol.

Summary:
total energy	-272.85	eV for the cell shown
formation energy from raw total energies	-555	meV/atom
magnetic moment	7.09	μB per cell
density	5.7	Mg/m³
Fermi-level density of states	14.02	states/eV/cell

```
data_CaNiSe2
_symmetry_space_group_name_H-M 'F m -3 m'
_symmetry_Int_Tables_number 225
_symmetry_space_group_name_Hall '-F 4 2 3'
_cell_length_a 6.688
_cell_length_b 6.688
_cell_length_c 6.688
_cell_angle_alpha 90.00
_cell_angle_beta 90.00
_cell_angle_gamma 90.00
loop_
_atom_site_label
_atom_site_type_symbol
_atom_site_fract_x
_atom_site_fract_y
_atom_site_fract_z
Ca1 Ca 0.000 0.000 0.000
Ni1 Ni 0.000 0.000 0.500
Se1 Se 0.250 0.250 0.250
```

***

(11)
A plane-wave DFT calculation with meta-GGA SCAN was carried out for a crystal of CaSiNi relaxed with PBEsol.

Summary:
total energy	-73.53	eV for the cell shown
formation energy from raw total energies	-304	meV/atom
magnetic moment	0.00	μB per cell
density	4.2	Mg/m³
Fermi-level density of states	2.96	states/eV/cell

```
data_CaSiNi
_symmetry_space_group_name_H-M 'I m m 2'
_symmetry_Int_Tables_number 44
_symmetry_space_group_name_Hall 'I 2 -2'
_cell_length_a 3.027
_cell_length_b 3.166
_cell_length_c 10.436
_cell_angle_alpha 90.00
_cell_angle_beta 90.00
_cell_angle_gamma 90.00
loop_
_atom_site_label
_atom_site_type_symbol
_atom_site_fract_x
_atom_site_fract_y
_atom_site_fract_z
Ca1 Ca 0.000 0.000 0.000
Si1 Si 0.000 0.000 0.292
Ni1 Ni 0.000 0.000 0.709
```

***

(12)
A plane-wave DFT calculation with meta-GGA SCAN was carried out for a crystal of CaSiNi relaxed with PBEsol.

Summary:
total energy	-37.27	eV for the cell shown
formation energy from raw total energies	-472	meV/atom
magnetic moment	0.00	μB per cell
density	3.8	Mg/m³
Fermi-level density of states	2.42	states/eV/cell

```
data_CaSiNi
_symmetry_space_group_name_H-M 'P -6 m 2'
_symmetry_Int_Tables_number 187
_symmetry_space_group_name_Hall 'P -6 2'
_cell_length_a 3.8925
_cell_length_b 3.8925
_cell_length_c 4.2780
_cell_angle_alpha 90.00
_cell_angle_beta 90.00
_cell_angle_gamma 120.00
loop_
_atom_site_label
_atom_site_type_symbol
_atom_site_fract_x
_atom_site_fract_y
_atom_site_fract_z
Ca1 Ca 0.0000 0.0000 0.0000
Si1 Si 0.6667 0.3333 0.5000
Ni1 Ni 0.3333 0.6667 0.5000
```

***

(13)
A plane-wave DFT calculation with meta-GGA SCAN was carried out for a crystal of Sr2CaNi2 relaxed with PBEsol.

Summary:
total energy	-169.86	eV for the cell shown
magnetic moment	0.00	μB per cell
density	4.2	Mg/m³
Fermi-level density of states	2.82	states/eV/cell

```
data_Sr2CaNi2
_symmetry_space_group_name_H-M 'I 4/m m m'
_symmetry_Int_Tables_number 139
_symmetry_space_group_name_Hall '-I 4 2'
_cell_length_a 4.665
_cell_length_b 4.665
_cell_length_c 12.205
_cell_angle_alpha 90.00
_cell_angle_beta 90.00
_cell_angle_gamma 90.00
loop_
_atom_site_label
_atom_site_type_symbol
_atom_site_fract_x
_atom_site_fract_y
_atom_site_fract_z
Sr1 Sr 0.000 0.500 0.250
Ca1 Ca 0.000 0.000 0.000
Ni1 Ni 0.000 0.000 0.408
```

***

(14)
A plane-wave DFT calculation with meta-GGA SCAN was carried out for a crystal of Sr2CaNi relaxed with PBEsol.

Summary:
total energy	-69.80	eV for the cell shown
magnetic moment	0.17	μB per cell
density	3.4	Mg/m³
Fermi-level density of states	3.68	states/eV/cell

```
data_Sr2CaNi
_symmetry_space_group_name_H-M 'P 4/m m m'
_symmetry_Int_Tables_number 123
_symmetry_space_group_name_Hall '-P 4 2'
_cell_length_a 3.677
_cell_length_b 3.677
_cell_length_c 9.865
_cell_angle_alpha 90.00
_cell_angle_beta 90.00
_cell_angle_gamma 90.00
loop_
_atom_site_label
_atom_site_type_symbol
_atom_site_fract_x
_atom_site_fract_y
_atom_site_fract_z
Sr1 Sr 0.000 0.000 0.175
Ca1 Ca 0.500 0.500 0.500
Ni1 Ni 0.500 0.500 0.000
```

***

(15)
A plane-wave DFT calculation with meta-GGA SCAN was carried out for a crystal of SrCa2Ni relaxed with PBEsol.

Summary:
total energy	-57.33	eV for the cell shown
magnetic moment	0.07	μB per cell
density	3.0	Mg/m³
Fermi-level density of states	3.86	states/eV/cell

```
data_SrCa2Ni
_symmetry_space_group_name_H-M 'P 4 m m'
_symmetry_Int_Tables_number 99
_symmetry_space_group_name_Hall 'P 4 -2'
_cell_length_a 3.591
_cell_length_b 3.591
_cell_length_c 9.609
_cell_angle_alpha 90.00
_cell_angle_beta 90.00
_cell_angle_gamma 90.00
loop_
_atom_site_label
_atom_site_type_symbol
_atom_site_fract_x
_atom_site_fract_y
_atom_site_fract_z
Sr1 Sr 0.000 0.000 0.000
Ca1 Ca 0.000 0.000 0.653
Ca2 Ca 0.500 0.500 0.341
Ni1 Ni 0.500 0.500 0.812
```

***

(16)
A plane-wave DFT calculation with meta-GGA SCAN was carried out for a crystal of SrCaNi3 relaxed with PBEsol.

Summary:
total energy	-75.45	eV for the cell shown
magnetic moment	0.00	μB per cell
density	4.7	Mg/m³
Fermi-level density of states	2.50	states/eV/cell

```
data_SrCaNi3
_symmetry_space_group_name_H-M 'P m -3 m'
_symmetry_Int_Tables_number 221
_symmetry_space_group_name_Hall '-P 4 2 3'
_cell_length_a 4.738
_cell_length_b 4.738
_cell_length_c 4.738
_cell_angle_alpha 90.00
_cell_angle_beta 90.00
_cell_angle_gamma 90.00
loop_
_atom_site_label
_atom_site_type_symbol
_atom_site_fract_x
_atom_site_fract_y
_atom_site_fract_z
Sr1 Sr 0.000 0.000 0.000
Ca1 Ca 0.500 0.500 0.500
Ni1 Ni 0.000 0.500 0.500
```

***

(17)
A plane-wave DFT calculation with meta-GGA SCAN was carried out for a crystal of SrCa2Ni relaxed with PBEsol.

Summary:
total energy	-57.40	eV for the cell shown
magnetic moment	0.00	μB per cell
density	3.1	Mg/m³
Fermi-level density of states	2.86	states/eV/cell

```
data_SrCa2Ni
_symmetry_space_group_name_H-M 'P 4/m m m'
_symmetry_Int_Tables_number 123
_symmetry_space_group_name_Hall '-P 4 2'
_cell_length_a 3.558
_cell_length_b 3.558
_cell_length_c 9.727
_cell_angle_alpha 90.00
_cell_angle_beta 90.00
_cell_angle_gamma 90.00
loop_
_atom_site_label
_atom_site_type_symbol
_atom_site_fract_x
_atom_site_fract_y
_atom_site_fract_z
Sr1 Sr 0.000 0.000 0.000
Ca1 Ca 0.500 0.500 0.335
Ni1 Ni 0.000 0.000 0.500
```

***

(18)
A plane-wave DFT calculation with meta-GGA SCAN was carried out for a crystal of SrCaNi4 relaxed with PBEsol.

Summary:
total energy	-386.47	eV for the cell shown
magnetic moment	0.04	μB per cell
density	6.5	Mg/m³
Fermi-level density of states	21.82	states/eV/cell

```
data_SrCaNi4
_symmetry_space_group_name_H-M 'F -4 3 m'
_symmetry_Int_Tables_number 216
_symmetry_space_group_name_Hall 'F -4 2 3'
_cell_length_a 7.173
_cell_length_b 7.173
_cell_length_c 7.173
_cell_angle_alpha 90.00
_cell_angle_beta 90.00
_cell_angle_gamma 90.00
loop_
_atom_site_label
_atom_site_type_symbol
_atom_site_fract_x
_atom_site_fract_y
_atom_site_fract_z
Sr1 Sr 0.000 0.000 0.000
Ca1 Ca 0.250 0.250 0.750
Ni1 Ni 0.124 0.124 0.376
```

***

(19)
A plane-wave DFT calculation with meta-GGA SCAN was carried out for a crystal of Sr3CaNi relaxed with PBEsol.

Summary:
total energy	-92.41	eV for the cell shown
magnetic moment	0.16	μB per cell
density	3.0	Mg/m³
Fermi-level density of states	3.36	states/eV/cell

```
data_Sr3CaNi
_symmetry_space_group_name_H-M 'P m -3 m'
_symmetry_Int_Tables_number 221
_symmetry_space_group_name_Hall '-P 4 2 3'
_cell_length_a 5.819
_cell_length_b 5.819
_cell_length_c 5.819
_cell_angle_alpha 90.00
_cell_angle_beta 90.00
_cell_angle_gamma 90.00
loop_
_atom_site_label
_atom_site_type_symbol
_atom_site_fract_x
_atom_site_fract_y
_atom_site_fract_z
Sr1 Sr 0.000 0.000 0.500
Ca1 Ca 0.500 0.500 0.500
Ni1 Ni 0.000 0.000 0.000
```

***

(20)
A plane-wave DFT calculation with meta-GGA SCAN was carried out for a crystal of SrCa3Ni relaxed with PBEsol.

Summary:
total energy	-67.52	eV for the cell shown
magnetic moment	0.24	μB per cell
density	2.6	Mg/m³
Fermi-level density of states	3.21	states/eV/cell

```
data_SrCa3Ni
_symmetry_space_group_name_H-M 'P m -3 m'
_symmetry_Int_Tables_number 221
_symmetry_space_group_name_Hall '-P 4 2 3'
_cell_length_a 5.558
_cell_length_b 5.558
_cell_length_c 5.558
_cell_angle_alpha 90.00
_cell_angle_beta 90.00
_cell_angle_gamma 90.00
loop_
_atom_site_label
_atom_site_type_symbol
_atom_site_fract_x
_atom_site_fract_y
_atom_site_fract_z
Sr1 Sr 0.000 0.000 0.000
Ca1 Ca 0.000 0.500 0.500
Ni1 Ni 0.500 0.500 0.500
```